Entry from the Alexandria database: an optimized crystal structure of Y2NiPb (PBE).

Lattice parameters (Å, degrees): 3.4688 3.4688 8.3294 90.00 90.00 89.99
Closest atoms and distances in Å follow each position.
Atoms (fractional coordinates):
1 Ni 0.0000 0.0000 0.5057  4 Y 2.92, 4 Pb 2.94
2 Pb 0.5000 0.5000 0.6998  4 Ni 2.94, 1 Y 3.19
3 Y 0.0000 0.0000 0.9782  4 Pb 3.38, 8 Y 3.47-3.74
4 Y 0.5000 0.5000 0.3164  4 Ni 2.92, 1 Pb 3.19

Results
crystal system: tetragonal
uncorrected energy: -5.723 eV per atom
energy of formation: -0.119 eV per atom
symmetry: P4mm
spin magnetization: 0.7 μB/f.u.